Sm2U3Se8: optimized geometry, GGA-PBE.

The space group is Cmmm (No. 65) and the conventional cell measures 9.846, 14.150 and 4.968 Å, with angles of 90.00, 90.00 and 90.00 degrees. Symmetry generates all atoms from Sm at (0.000, 0.233, 0.000), U at (0.000, 0.500, 0.000), U at (0.235, 0.000, 0.500), Se at (0.000, 0.125, 0.500), Se at (0.000, 0.385, 0.500) and Se at (0.239, 0.379, 0.000).

The total magnetization comes out at 7.999 μB/f.u. The uncorrected formation energy comes out at -1341 meV/atom. Its raw total energy is -6.817 eV/atom. Its energy relative to the lowest polymorph listed for this composition is 0.015 eV/atom.

***

Th6Co2C3N: optimized geometry, GGA-PBE.

The space group is C2/m (No. 12) and the conventional cell measures 17.009, 3.750 and 7.662 Å, with angles of 90.00, 107.51 and 90.00 degrees. Symmetry generates all atoms from Th at (0.003, 0.000, 0.240), Th at (0.152, 0.500, 0.612), Th at (0.171, 0.500, 0.096), Co at (0.192, 0.000, 0.394), C at (0.000, 0.500, 0.500), C at (0.154, 0.000, 0.854) and N at (0.000, 0.500, 0.000).

The total magnetization comes out at 0.000 μB/f.u. The uncorrected formation energy comes out at -429 meV/atom. Its raw total energy is -8.323 eV/atom.

***

La2PuScP4: optimized geometry, GGA-PBE.

The space group is P2/m (No. 10) and the conventional cell measures 7.024, 4.090 and 7.059 Å, with angles of 90.00, 109.49 and 90.00 degrees. Symmetry generates all atoms from La at (0.000, 0.000, 0.000), La at (0.500, 0.500, 0.000), Pu at (0.000, 0.500, 0.500), Sc at (0.500, 0.000, 0.500), P at (0.246, 0.000, 0.725) and P at (0.263, 0.500, 0.276).

The formation energy comes out at -11.13 eV per formula unit. The total magnetization comes out at 4.860 μB/f.u. Its raw total energy is -7.911 eV/atom.